VASP calculation (PBE-GGA) on crystalline Li3MgSe at its relaxed geometry.

Lattice parameters (Å, degrees): 4.879 4.879 4.879 90.00 90.00 90.00
Space group Pm-3m (No. 221)
Symmetry-distinct sites (fractional):
Li: 0.000 0.000 0.500 [3 per cell]
Mg: 0.500 0.500 0.500 [1 per cell]
Se: 0.000 0.000 0.000 [1 per cell]

Values from the calculation:
ΔE_f (raw): -225 kJ/mol of formula units
Magnetization: 0.00 Bohr magnetons per cell
E above lowest polymorph: 0.00 eV per formula unit



VASP calculation (PBE-GGA) on crystalline PmSm4Er10 at its relaxed geometry.

Lattice parameters (Å, degrees): 12.166 12.166 7.662 90.00 90.00 90.00
Space group I4/m (No. 87)
Symmetry-distinct sites (fractional):
Pm: 0.000 0.000 0.000 [2 per cell]
Sm: 0.101 0.299 0.500 [8 per cell]
Er: 0.000 0.500 0.250 [4 per cell]
Er: 0.099 0.799 0.250 [16 per cell]

Values from the calculation:
Formation enthalpy at 0 K: 759 meV/atom
Magnetization: 0.00 Bohr magnetons per cell



VASP calculation (PBE-GGA) on crystalline Tm3Pd2Pt2 at its relaxed geometry.

Lattice parameters (Å, degrees): 4.426 4.988 7.211 76.86 89.90 63.69
Space group P-1 (No. 2)
Symmetry-distinct sites (fractional):
Tm: 0.000 0.000 0.000 [1 per cell]
Tm: 0.394 0.211 0.287 [2 per cell]
Pd: 0.134 0.734 0.431 [2 per cell]
Pt: 0.304 0.393 0.866 [2 per cell]

Values from the calculation:
Formation enthalpy at 0 K: -1032 meV/atom
Magnetization: 0.00 Bohr magnetons per cell



Q: Number 2 is which compound?
A: PmSm4Er10



Q: Look up the magnetization of the second one.
A: 0.00 Bohr magnetons per cell



What did the third record say?
VASP calculation (PBE-GGA) on crystalline Tm3Pd2Pt2 at its relaxed geometry.

Lattice parameters (Å, degrees): 4.426 4.988 7.211 76.86 89.90 63.69
Space group P-1 (No. 2)
Symmetry-distinct sites (fractional):
Tm: 0.000 0.000 0.000 [1 per cell]
Tm: 0.394 0.211 0.287 [2 per cell]
Pd: 0.134 0.734 0.431 [2 per cell]
Pt: 0.304 0.393 0.866 [2 per cell]

Values from the calculation:
Formation enthalpy at 0 K: -1032 meV/atom
Magnetization: 0.00 Bohr magnetons per cell